# 1
Density functional theory data (PBE) for crystalline YIn2Cu2 at its relaxed geometry.

Summary:
The formation energy is -0.236 eV/atom. The value obtained for the magnetic moment is 0.000 μB per formula unit. As for the density: 7.215 g/cm3.

a b c (Å): 6.365 6.365 6.365
angles (deg): 140.71 140.71 56.78
Positions (direct):
Y  0.000  0.000  0.000
In  0.250  0.750  0.500
In  0.750  0.250  0.500
Cu  0.396  0.396  0.000
Cu  0.604  0.604  0.000

=====

# 2
Density functional theory data (PBE) for crystalline HgIr3 at its relaxed geometry.

Summary:
The formation energy is 0.392 eV/atom. The value obtained for the magnetic moment is 0.000 μB per formula unit. As for the density: 19.886 g/cm3.

a b c (Å): 2.796 3.805 6.102
angles (deg): 90.00 90.00 90.00
Positions (direct):
Hg  0.000  0.000  0.000
Ir  0.000  0.000  0.500
Ir  0.500  0.500  0.282
Ir  0.500  0.500  0.718

=====

# 3
Density functional theory data (PBE) for crystalline CaY2Er3Bi6 at its relaxed geometry.

Summary:
The formation energy is -0.819 eV/atom. The value obtained for the magnetic moment is 0.000 μB per formula unit. As for the density: 8.544 g/cm3.

a b c (Å): 10.040 10.040 8.995
angles (deg): 102.99 102.99 25.77
Positions (direct):
Ca  0.000  0.000  0.000
Y  0.334  0.334  0.668
Y  0.666  0.666  0.332
Er  0.000  0.000  0.500
Er  0.335  0.335  0.166
Er  0.665  0.665  0.834
Bi  0.166  0.166  0.585
Bi  0.170  0.170  0.083
Bi  0.500  0.500  0.257
Bi  0.500  0.500  0.743
Bi  0.830  0.830  0.917
Bi  0.834  0.834  0.415

=====

# 4
Density functional theory data (PBE) for crystalline Nd12YAl3 at its relaxed geometry.

Summary:
The formation energy is -0.111 eV/atom. The value obtained for the magnetic moment is 0.000 μB per formula unit. As for the density: 6.424 g/cm3.

a b c (Å): 4.941 4.941 20.128
angles (deg): 90.00 90.00 90.00
Positions (direct):
Nd  0.000  0.000  0.000
Nd  0.000  0.000  0.243
Nd  0.000  0.000  0.500
Nd  0.000  0.000  0.757
Nd  0.000  0.500  0.122
Nd  0.000  0.500  0.365
Nd  0.000  0.500  0.635
Nd  0.000  0.500  0.878
Nd  0.500  0.000  0.122
Nd  0.500  0.000  0.365
Nd  0.500  0.000  0.635
Nd  0.500  0.000  0.878
Y  0.500  0.500  0.500
Al  0.500  0.500  0.000
Al  0.500  0.500  0.242
Al  0.500  0.500  0.758

=====

# 5
Density functional theory data (PBE) for crystalline Cs4CaAg3F12 at its relaxed geometry.

Summary:
As for the raw formation energy: -2251.2 meV per atom. The value obtained for the magnetic moment is 0.493 μB per formula unit. As for the density: 5.032 g/cm3.

a b c (Å): 7.838 7.838 7.838
angles (deg): 109.47 109.47 109.47
Positions (direct):
Cs  0.000  0.000  0.500
Cs  0.000  0.500  0.000
Cs  0.500  0.000  0.000
Cs  0.500  0.500  0.500
Ca  0.000  0.000  0.000
Ag  0.000  0.500  0.500
Ag  0.500  0.000  0.500
Ag  0.500  0.500  0.000
F  0.000  0.250  0.250
F  0.000  0.750  0.750
F  0.250  0.000  0.250
F  0.250  0.250  0.000
F  0.250  0.500  0.750
F  0.250  0.750  0.500
F  0.500  0.250  0.750
F  0.500  0.750  0.250
F  0.750  0.000  0.750
F  0.750  0.250  0.500
F  0.750  0.500  0.250
F  0.750  0.750  0.000

=====

# 6
Density functional theory data (PBE) for crystalline Li6Ag12Hg at its relaxed geometry.

Summary:
The formation energy is -0.081 eV/atom. The value obtained for the magnetic moment is 0.000 μB per formula unit. As for the density: 7.319 g/cm3.

a b c (Å): 7.513 7.513 7.513
angles (deg): 107.46 107.46 107.46
Positions (direct):
Li  0.053  0.406  0.295
Li  0.295  0.053  0.406
Li  0.406  0.295  0.053
Li  0.594  0.705  0.947
Li  0.705  0.947  0.594
Li  0.947  0.594  0.705
Ag  0.005  0.311  0.899
Ag  0.101  0.995  0.689
Ag  0.219  0.389  0.673
Ag  0.311  0.899  0.005
Ag  0.327  0.781  0.611
Ag  0.389  0.673  0.219
Ag  0.611  0.327  0.781
Ag  0.673  0.219  0.389
Ag  0.689  0.101  0.995
Ag  0.781  0.611  0.327
Ag  0.899  0.005  0.311
Ag  0.995  0.689  0.101
Hg  0.500  0.500  0.500

=====

- magnetic moment of number 4 (Nd12YAl3)?
  0.000 μB per formula unit